# 1
A relaxed LaPmEr2Tl4 crystal, computed with PBE.

formation enthalpy at 0 K = -274 kJ/mol of formula units
V = 28.64 Å³/atom

Unit cell a=9.458 b=9.458 c=9.458 alpha=33.47 beta=33.47 gamma=33.47
Fractional coordinates of all 8 atoms:
La 0.000 0.000 0.000
Pm 0.500 0.500 0.500
Er 0.250 0.250 0.250
Er 0.750 0.750 0.750
Tl 0.126 0.126 0.126
Tl 0.376 0.376 0.376
Tl 0.624 0.624 0.624
Tl 0.874 0.874 0.874


# 2
A relaxed TlCd3Mo crystal, computed with PBE.

energy above the lowest structure with this stoichiometry = 0 meV/atom
formation enthalpy at 0 K = 405 kJ/mol of formula units
V = 32.19 Å³/atom

Unit cell a=5.440 b=5.440 c=5.440 alpha=90.00 beta=90.00 gamma=90.00
Fractional coordinates of all 5 atoms:
Tl 0.000 0.000 0.000
Cd 0.000 0.500 0.500
Cd 0.500 0.000 0.500
Cd 0.500 0.500 0.000
Mo 0.500 0.500 0.500


# 3
A relaxed AlIr2Se crystal, computed with PBE.

energy above the lowest structure with this stoichiometry = 60 meV/atom
V = 15.18 Å³/atom
formation energy without anion corrections = -118 meV/atom

Unit cell a=4.459 b=4.459 c=5.028 alpha=102.12 beta=102.12 gamma=38.54
Fractional coordinates of all 4 atoms:
Al 0.000 0.000 0.000
Ir 0.258 0.258 0.761
Ir 0.742 0.742 0.239
Se 0.500 0.500 0.500


> The lowest V belongs to which entry?

AlIr2Se


> The lowest V belongs to which entry?

AlIr2Se


> The highest V belongs to which entry?

TlCd3Mo